i:
# Y3Zn2Si4Au2 (PBE, relaxed)
data_Y3Zn2Si4Au2
_chemical_formula_sum 'Y6 Zn4 Si8 Au4'
_cell_length_a 4.126
_cell_length_b 4.167
_cell_length_c 24.614
_cell_angle_alpha 90.00
_cell_angle_beta 90.00
_cell_angle_gamma 90.00
_space_group_name_H-M_alt 'I m m m'
_space_group_IT_number 71
_space_group_name_Hall '-I 2 2'
loop_
_atom_site_label
_atom_site_type_symbol
_atom_site_fract_x
_atom_site_fract_y
_atom_site_fract_z
Y1 Y 0.000 0.000 0.000
Y2 Y 0.000 0.500 0.144
Zn1 Zn 0.000 0.500 0.407
Si1 Si 0.000 0.000 0.453
Si2 Si 0.000 0.500 0.312
Au1 Au 0.000 0.000 0.251
# Magnetization ... 0.00 μB per atom
# ρ ... 7.093 g/cm3

***

ii:
# Y3Zn2Si4Au2 (PBE, relaxed)
data_Y3Zn2Si4Au2
_chemical_formula_sum 'Y6 Zn4 Si8 Au4'
_cell_length_a 4.040
_cell_length_b 4.195
_cell_length_c 25.054
_cell_angle_alpha 90.00
_cell_angle_beta 90.00
_cell_angle_gamma 90.00
_space_group_name_H-M_alt 'I m m m'
_space_group_IT_number 71
_space_group_name_Hall '-I 2 2'
loop_
_atom_site_label
_atom_site_type_symbol
_atom_site_fract_x
_atom_site_fract_y
_atom_site_fract_z
Y1 Y 0.000 0.000 0.000
Y2 Y 0.000 0.500 0.146
Zn1 Zn 0.000 0.000 0.251
Si1 Si 0.000 0.000 0.453
Si2 Si 0.000 0.500 0.309
Au1 Au 0.000 0.500 0.405
# Magnetization ... 0.00 μB per atom
# ρ ... 7.068 g/cm3

***

Going by the energies, ii is most stable and the next is 53 meV/atom up.

***

i:
# TbSmAu (PBE, relaxed)
data_TbSmAu
_chemical_formula_sum 'Tb4 Sm4 Au4'
_cell_length_a 7.201
_cell_length_b 5.010
_cell_length_c 9.024
_cell_angle_alpha 90.00
_cell_angle_beta 90.00
_cell_angle_gamma 90.00
_space_group_name_H-M_alt 'P n m a'
_space_group_IT_number 62
_space_group_name_Hall '-P 2ac 2n'
loop_
_atom_site_label
_atom_site_type_symbol
_atom_site_fract_x
_atom_site_fract_y
_atom_site_fract_z
Tb1 Tb 0.150 0.250 0.082
Sm1 Sm 0.011 0.250 0.677
Au1 Au 0.247 0.250 0.403
# Magnetization ... 0.00 μB per atom
# ρ ... 10.329 g/cm3

***

ii:
# TbSmAu (PBE, relaxed)
data_TbSmAu
_chemical_formula_sum 'Tb4 Sm4 Au4'
_cell_length_a 6.933
_cell_length_b 6.933
_cell_length_c 6.933
_cell_angle_alpha 90.00
_cell_angle_beta 90.00
_cell_angle_gamma 90.00
_space_group_name_H-M_alt 'F -4 3 m'
_space_group_IT_number 216
_space_group_name_Hall 'F -4 2 3'
loop_
_atom_site_label
_atom_site_type_symbol
_atom_site_fract_x
_atom_site_fract_y
_atom_site_fract_z
Tb1 Tb 0.000 0.000 0.000
Sm1 Sm 0.250 0.250 0.750
Au1 Au 0.000 0.000 0.500
# Magnetization ... 0.01 μB per atom
# ρ ... 10.089 g/cm3

***

Going by the energies, i is most stable and the next is 760 meV/atom up.

***

i:
# SnAu17 (PBE, relaxed)
data_SnAu17
_chemical_formula_sum 'Sn4 Au68'
_cell_length_a 10.053
_cell_length_b 5.843
_cell_length_c 34.059
_cell_angle_alpha 90.00
_cell_angle_beta 90.04
_cell_angle_gamma 90.00
_space_group_name_H-M_alt 'P 1 m 1'
_space_group_IT_number 6
_space_group_name_Hall 'P -2y'
loop_
_atom_site_label
_atom_site_type_symbol
_atom_site_fract_x
_atom_site_fract_y
_atom_site_fract_z
Sn1 Sn 0.000 0.000 0.000
Sn2 Sn 0.001 0.500 0.995
Sn3 Sn 0.159 0.000 0.588
Sn4 Sn 0.659 0.000 0.588
Au1 Au 0.071 0.251 0.074
Au2 Au 0.076 0.250 0.292
Au3 Au 0.077 0.247 0.507
Au4 Au 0.156 0.000 0.148
Au5 Au 0.156 0.500 0.148
Au6 Au 0.160 0.000 0.363
Au7 Au 0.160 0.500 0.363
Au8 Au 0.160 0.500 0.579
Au9 Au 0.242 0.250 0.220
Au10 Au 0.244 0.250 0.435
Au11 Au 0.256 0.250 0.004
Au12 Au 0.322 0.000 0.078
Au13 Au 0.323 0.500 0.078
Au14 Au 0.325 0.000 0.507
Au15 Au 0.326 0.000 0.292
Au16 Au 0.326 0.500 0.292
Au17 Au 0.327 0.500 0.506
Au18 Au 0.407 0.250 0.149
Au19 Au 0.410 0.250 0.363
Au20 Au 0.410 0.253 0.580
Au21 Au 0.492 0.000 0.220
Au22 Au 0.492 0.500 0.220
Au23 Au 0.493 0.000 0.435
Au24 Au 0.494 0.500 0.435
Au25 Au 0.499 0.000 0.005
Au26 Au 0.500 0.500 0.005
Au27 Au 0.574 0.250 0.078
Au28 Au 0.576 0.250 0.292
Au29 Au 0.577 0.247 0.507
Au30 Au 0.657 0.000 0.149
Au31 Au 0.658 0.500 0.149
Au32 Au 0.660 0.000 0.363
Au33 Au 0.660 0.500 0.363
Au34 Au 0.660 0.500 0.579
Au35 Au 0.742 0.250 0.220
Au36 Au 0.743 0.250 0.435
Au37 Au 0.744 0.250 0.005
Au38 Au 0.824 0.000 0.078
Au39 Au 0.825 0.000 0.507
Au40 Au 0.825 0.500 0.077
Au41 Au 0.826 0.000 0.292
Au42 Au 0.826 0.500 0.292
Au43 Au 0.827 0.500 0.506
Au44 Au 0.908 0.250 0.149
Au45 Au 0.910 0.251 0.363
Au46 Au 0.910 0.252 0.580
Au47 Au 0.993 0.000 0.220
Au48 Au 0.993 0.000 0.435
Au49 Au 0.993 0.500 0.220
Au50 Au 0.994 0.500 0.435
# ρ ... 11.511 g/cm3

***

ii:
# SnAu17 (PBE, relaxed)
data_SnAu17
_chemical_formula_sum 'Sn2 Au34'
_cell_length_a 5.7967
_cell_length_b 5.7967
_cell_length_c 32.8990
_cell_angle_alpha 90.00
_cell_angle_beta 90.00
_cell_angle_gamma 120.00
_space_group_name_H-M_alt 'P -3 m 1'
_space_group_IT_number 164
_space_group_name_Hall '-P 3 2"'
loop_
_atom_site_label
_atom_site_type_symbol
_atom_site_fract_x
_atom_site_fract_y
_atom_site_fract_z
Sn1 Sn 0.3333 0.6667 0.3071
Au1 Au 0.0000 0.0000 0.0000
Au2 Au 0.0000 0.0000 0.2235
Au3 Au 0.0000 0.5000 0.0000
Au4 Au 0.0016 0.5008 0.2239
Au5 Au 0.1662 0.3324 0.1485
Au6 Au 0.1667 0.3334 0.6988
Au7 Au 0.1667 0.3334 0.9257
Au8 Au 0.3333 0.6667 0.0744
Au9 Au 0.3333 0.6667 0.8508
# ρ ... 12.027 g/cm3

***

Going by the energies, ii is most stable and the next is 8 meV/atom up.

***

i:
# YSnTe3Au (PBE, relaxed)
data_YSnTe3Au
_chemical_formula_sum 'Y4 Sn4 Te12 Au4'
_cell_length_a 4.270
_cell_length_b 14.798
_cell_length_c 11.108
_cell_angle_alpha 90.00
_cell_angle_beta 90.00
_cell_angle_gamma 90.00
_space_group_name_H-M_alt 'C m c m'
_space_group_IT_number 63
_space_group_name_Hall '-C 2c 2'
loop_
_atom_site_label
_atom_site_type_symbol
_atom_site_fract_x
_atom_site_fract_y
_atom_site_fract_z
Y1 Y 0.000 0.000 0.000
Sn1 Sn 0.000 0.224 0.250
Te1 Te 0.000 0.096 0.750
Te2 Te 0.000 0.351 0.555
Au1 Au 0.000 0.471 0.750
# Magnetization ... 0.00 μB per atom
# ρ ... 7.451 g/cm3

***

ii:
# YSnTe3Au (PBE, relaxed)
data_YSnTe3Au
_chemical_formula_sum 'Y4 Sn4 Te12 Au4'
_cell_length_a 19.845
_cell_length_b 4.261
_cell_length_c 8.783
_cell_angle_alpha 90.00
_cell_angle_beta 101.16
_cell_angle_gamma 90.00
_space_group_name_H-M_alt 'C 1 2/m 1'
_space_group_IT_number 12
_space_group_name_Hall '-C 2y'
loop_
_atom_site_label
_atom_site_type_symbol
_atom_site_fract_x
_atom_site_fract_y
_atom_site_fract_z
Y1 Y 0.160 0.000 0.091
Sn1 Sn 0.123 0.000 0.574
Te1 Te 0.000 0.000 0.000
Te2 Te 0.000 0.500 0.500
Te3 Te 0.177 0.500 0.848
Te4 Te 0.189 0.500 0.353
Au1 Au 0.053 0.500 0.214
# Magnetization ... 0.00 μB per atom
# ρ ... 7.178 g/cm3

***

iii:
# YSnTe3Au (PBE, relaxed)
data_YSnTe3Au
_chemical_formula_sum 'Y4 Sn4 Te12 Au4'
_cell_length_a 12.729
_cell_length_b 4.397
_cell_length_c 12.605
_cell_angle_alpha 90.00
_cell_angle_beta 90.00
_cell_angle_gamma 90.00
_space_group_name_H-M_alt 'P n m a'
_space_group_IT_number 62
_space_group_name_Hall '-P 2ac 2n'
loop_
_atom_site_label
_atom_site_type_symbol
_atom_site_fract_x
_atom_site_fract_y
_atom_site_fract_z
Y1 Y 0.037 0.250 0.193
Sn1 Sn 0.201 0.250 0.466
Te1 Te 0.023 0.750 0.367
Te2 Te 0.091 0.250 0.936
Te3 Te 0.218 0.750 0.674
Au1 Au 0.229 0.750 0.303
# Magnetization ... 0.00 μB per atom
# ρ ... 7.413 g/cm3

***

iv:
# YSnTe3Au (PBE, relaxed)
data_YSnTe3Au
_chemical_formula_sum 'Y4 Sn4 Te12 Au4'
_cell_length_a 13.319
_cell_length_b 4.461
_cell_length_c 12.254
_cell_angle_alpha 90.00
_cell_angle_beta 90.00
_cell_angle_gamma 90.00
_space_group_name_H-M_alt 'P n m a'
_space_group_IT_number 62
_space_group_name_Hall '-P 2ac 2n'
loop_
_atom_site_label
_atom_site_type_symbol
_atom_site_fract_x
_atom_site_fract_y
_atom_site_fract_z
Y1 Y 0.018 0.250 0.194
Sn1 Sn 0.237 0.250 0.419
Te1 Te 0.034 0.750 0.367
Te2 Te 0.099 0.250 0.950
Te3 Te 0.196 0.750 0.678
Au1 Au 0.194 0.750 0.230
# Magnetization ... 0.00 μB per atom
# ρ ... 7.183 g/cm3

***

Going by the energies, i is most stable and the next is 18 meV/atom up.

***

i:
# YSnTe3Au (PBE, relaxed)
data_YSnTe3Au
_chemical_formula_sum 'Y4 Sn4 Te12 Au4'
_cell_length_a 11.151
_cell_length_b 4.287
_cell_length_c 14.699
_cell_angle_alpha 90.00
_cell_angle_beta 90.00
_cell_angle_gamma 90.00
_space_group_name_H-M_alt 'P n m a'
_space_group_IT_number 62
_space_group_name_Hall '-P 2ac 2n'
loop_
_atom_site_label
_atom_site_type_symbol
_atom_site_fract_x
_atom_site_fract_y
_atom_site_fract_z
Y1 Y 0.021 0.250 0.244
Sn1 Sn 0.221 0.750 0.523
Te1 Te 0.038 0.250 0.607
Te2 Te 0.073 0.750 0.095
Te3 Te 0.233 0.750 0.846
Au1 Au 0.245 0.250 0.721
# Magnetization ... 0.00 μB per atom
# ρ ... 7.443 g/cm3

***

ii:
# YSnTe3Au (PBE, relaxed)
data_YSnTe3Au
_chemical_formula_sum 'Y4 Sn4 Te12 Au4'
_cell_length_a 10.276
_cell_length_b 4.451
_cell_length_c 16.706
_cell_angle_alpha 90.00
_cell_angle_beta 90.00
_cell_angle_gamma 90.00
_space_group_name_H-M_alt 'P n m a'
_space_group_IT_number 62
_space_group_name_Hall '-P 2ac 2n'
loop_
_atom_site_label
_atom_site_type_symbol
_atom_site_fract_x
_atom_site_fract_y
_atom_site_fract_z
Y1 Y 0.194 0.250 0.033
Sn1 Sn 0.173 0.750 0.282
Te1 Te 0.027 0.750 0.122
Te2 Te 0.135 0.250 0.465
Te3 Te 0.176 0.750 0.703
Au1 Au 0.123 0.750 0.904
# Magnetization ... 0.00 μB per atom
# ρ ... 6.845 g/cm3

***

Going by the energies, i is most stable and the next is 32 meV/atom up.

***

i:
# SnWAu (PBE, relaxed)
data_SnWAu
_chemical_formula_sum 'Sn4 W4 Au4'
_cell_length_a 6.406
_cell_length_b 6.406
_cell_length_c 6.406
_cell_angle_alpha 90.00
_cell_angle_beta 90.00
_cell_angle_gamma 90.00
_space_group_name_H-M_alt 'F -4 3 m'
_space_group_IT_number 216
_space_group_name_Hall 'F -4 2 3'
loop_
_atom_site_label
_atom_site_type_symbol
_atom_site_fract_x
_atom_site_fract_y
_atom_site_fract_z
Sn1 Sn 0.000 0.000 0.000
W1 W 0.000 0.000 0.500
Au1 Au 0.250 0.250 0.250
# Magnetization ... 0.89 μB per atom
# ρ ... 12.623 g/cm3

***

ii:
# SnWAu (PBE, relaxed)
data_SnWAu
_chemical_formula_sum 'Sn4 W4 Au4'
_cell_length_a 6.451
_cell_length_b 6.451
_cell_length_c 6.451
_cell_angle_alpha 90.00
_cell_angle_beta 90.00
_cell_angle_gamma 90.00
_space_group_name_H-M_alt 'F -4 3 m'
_space_group_IT_number 216
_space_group_name_Hall 'F -4 2 3'
loop_
_atom_site_label
_atom_site_type_symbol
_atom_site_fract_x
_atom_site_fract_y
_atom_site_fract_z
Sn1 Sn 0.000 0.000 0.000
W1 W 0.250 0.250 0.750
Au1 Au 0.000 0.000 0.500
# Magnetization ... 0.57 μB per atom
# ρ ... 12.358 g/cm3

***

Going by the energies, ii is most stable and the next is 196 meV/atom up.

***

i:
# TaTeAu (PBE, relaxed)
data_TaTeAu
_chemical_formula_sum 'Ta4 Te4 Au4'
_cell_length_a 6.505
_cell_length_b 6.505
_cell_length_c 6.505
_cell_angle_alpha 90.00
_cell_angle_beta 90.00
_cell_angle_gamma 90.00
_space_group_name_H-M_alt 'F -4 3 m'
_space_group_IT_number 216
_space_group_name_Hall 'F -4 2 3'
loop_
_atom_site_label
_atom_site_type_symbol
_atom_site_fract_x
_atom_site_fract_y
_atom_site_fract_z
Ta1 Ta 0.000 0.000 0.000
Te1 Te 0.250 0.250 0.750
Au1 Au 0.000 0.000 0.500
# Magnetization ... 0.00 μB per atom
# ρ ... 12.201 g/cm3

***

ii:
# TaTeAu (PBE, relaxed)
data_TaTeAu
_chemical_formula_sum 'Ta4 Te4 Au4'
_cell_length_a 6.568
_cell_length_b 6.568
_cell_length_c 6.568
_cell_angle_alpha 90.00
_cell_angle_beta 90.00
_cell_angle_gamma 90.00
_space_group_name_H-M_alt 'F -4 3 m'
_space_group_IT_number 216
_space_group_name_Hall 'F -4 2 3'
loop_
_atom_site_label
_atom_site_type_symbol
_atom_site_fract_x
_atom_site_fract_y
_atom_site_fract_z
Ta1 Ta 0.000 0.000 0.000
Te1 Te 0.250 0.250 0.250
Au1 Au 0.250 0.250 0.750
# Magnetization ... 0.45 μB per atom
# ρ ... 11.852 g/cm3

***

Going by the energies, ii is most stable and the next is 354 meV/atom up.

***

i:
# ThTaAu (PBE, relaxed)
data_ThTaAu
_chemical_formula_sum 'Th4 Ta4 Au4'
_cell_length_a 6.820
_cell_length_b 6.820
_cell_length_c 6.820
_cell_angle_alpha 90.00
_cell_angle_beta 90.00
_cell_angle_gamma 90.00
_space_group_name_H-M_alt 'F -4 3 m'
_space_group_IT_number 216
_space_group_name_Hall 'F -4 2 3'
loop_
_atom_site_label
_atom_site_type_symbol
_atom_site_fract_x
_atom_site_fract_y
_atom_site_fract_z
Th1 Th 0.000 0.000 0.000
Ta1 Ta 0.000 0.000 0.500
Au1 Au 0.250 0.250 0.750
# Magnetization ... 0.41 μB per atom
# ρ ... 12.773 g/cm3

***

ii:
# ThTaAu (PBE, relaxed)
data_ThTaAu
_chemical_formula_sum 'Th4 Ta4 Au4'
_cell_length_a 6.923
_cell_length_b 6.923
_cell_length_c 6.923
_cell_angle_alpha 90.00
_cell_angle_beta 90.00
_cell_angle_gamma 90.00
_space_group_name_H-M_alt 'F -4 3 m'
_space_group_IT_number 216
_space_group_name_Hall 'F -4 2 3'
loop_
_atom_site_label
_atom_site_type_symbol
_atom_site_fract_x
_atom_site_fract_y
_atom_site_fract_z
Th1 Th 0.000 0.000 0.000
Ta1 Ta 0.250 0.250 0.250
Au1 Au 0.250 0.250 0.750
# Magnetization ... 0.71 μB per atom
# ρ ... 12.208 g/cm3

***

Going by the energies, i is most stable and the next is 502 meV/atom up.